# LiBeAs2 GGA-PBE optimized geometry
# E_form = 0.005 eV/atom
# DOS(E_F) = 1.33 states/eV/cell
# raw total energy = -3.73 eV per atom
# offset from the most stable computed form = 216.6 meV per atom
data_LiBeAs2
_cell_length_a 3.314
_cell_length_b 3.314
_cell_length_c 5.772
_cell_angle_alpha 90.00
_cell_angle_beta 90.00
_cell_angle_gamma 90.00
_symmetry_space_group_name_H-M 'P 4/m m m'
_symmetry_Int_Tables_number 123
_symmetry_space_group_name_Hall '-P 4 2'
loop_
_atom_site_label
_atom_site_type_symbol
_atom_site_fract_x
_atom_site_fract_y
_atom_site_fract_z
_atom_site_occupancy
Li1 Li 0.000 0.000 0.000 1
Be1 Be 0.000 0.000 0.500 1
As1 As 0.500 0.500 0.287 1